Density functional theory data (PBE-GGA) for a relaxed structure of Pm3Ho3Pu.

**Space group**: No. 148
**Formation energy from the elements**: 0.210 eV/atom
**Theoretical density**: 8.32 g/cm3
**Raw total energy**: -5.835 eV/atom
**DOS at the Fermi energy**: 32.7 states/eV/cell
**Crystal system**: trigonal

POSCAR file:
```
Pm3Ho3Pu
1.0
5.8756 0.0000 1.8882
2.6344 5.2519 1.8882
-1.4360 -0.8862 14.5542
Ho Pm Pu
6 6 2
direct
0.2700 0.6037 0.1893
0.0630 0.7300 0.8107
0.9370 0.2700 0.1893
0.6037 0.9370 0.1893
0.3963 0.0630 0.8107
0.7300 0.3963 0.8107
0.7996 0.1307 0.6079
0.2004 0.8693 0.3921
0.8693 0.5381 0.3921
0.4619 0.7996 0.6079
0.1307 0.4619 0.6079
0.5381 0.2004 0.3921
0.3333 0.3333 0.0000
0.6667 0.6667 0.0000
```